Compound: Dy4Y3Tm5
Source: Alexandria via LeMat-Bulk
Functional: GGA-PBE
Structure: optimized geometry

Computed properties:
The spin magnetization is 0.60 μB/cell. The symmetry is C2/m. The calculation puts the density of states at the Fermi level at 19.81 states/eV/f.u. Its formation enthalpy at 0 K is 255 meV/atom.

POSCAR file:
```
Dy4Y3Tm5
1.0
7.959 -2.913 0.000
7.959 2.913 0.000
-4.160 0.000 8.264
Dy Y Tm
4 3 5
direct
0.082 0.082 0.443
0.213 0.213 0.879
0.787 0.787 0.121
0.918 0.918 0.557
0.210 0.210 0.234
0.500 0.500 0.000
0.790 0.790 0.766
0.000 0.000 0.000
0.328 0.328 0.615
0.428 0.428 0.301
0.572 0.572 0.699
0.672 0.672 0.385
```

Compound: Dy2YZr3N6
Source: Alexandria via LeMat-Bulk
Functional: GGA-PBE
Structure: optimized geometry

Computed properties:
The spin magnetization is 0.00 μB/cell. The symmetry is C2/m. The calculation puts the density of states at the Fermi level at 3.16 states/eV/f.u. Its uncorrected formation energy is -1.725 eV per atom.

POSCAR file:
```
Dy2YZr3N6
1.0
2.898 -5.011 0.000
2.898 5.011 0.000
-1.936 0.000 5.518
Dy Y Zr N
2 1 3 6
direct
0.167 0.833 0.000
0.833 0.167 0.000
0.500 0.500 0.000
0.000 0.000 0.500
0.333 0.667 0.500
0.667 0.333 0.500
0.077 0.411 0.733
0.255 0.255 0.267
0.411 0.077 0.733
0.589 0.923 0.267
0.745 0.745 0.733
0.923 0.589 0.267
```

Compound: H2Pd5Au3
Source: Alexandria via LeMat-Bulk
Functional: GGA-PBE
Structure: optimized geometry

Computed properties:
The spin magnetization is 0.00 μB/cell. The symmetry is Ibam. Its calculated total energy is -86.1 eV/cell. The calculation puts the density of states at the Fermi level at 4.91 states/eV/f.u.

POSCAR file:
```
H2Pd5Au3
1.0
-4.099 5.816 2.903
4.099 -5.816 2.903
4.099 5.816 -2.903
H Pd Au
4 10 6
direct
0.232 0.125 0.357
0.268 0.625 0.893
0.732 0.375 0.107
0.768 0.875 0.643
0.002 0.750 0.252
0.118 0.261 0.378
0.250 0.750 0.500
0.382 0.761 0.143
0.498 0.750 0.748
0.502 0.250 0.252
0.618 0.239 0.857
0.750 0.250 0.500
0.882 0.739 0.622
0.998 0.250 0.748
0.123 0.750 0.873
0.250 0.250 0.000
0.377 0.250 0.628
0.623 0.750 0.372
0.750 0.750 0.000
0.877 0.250 0.127
```

Compound: Ti5Nb2Au
Source: Alexandria via LeMat-Bulk
Functional: GGA-PBE
Structure: optimized geometry

Computed properties:
The spin magnetization is 1.47 μB/cell. The symmetry is I4/mmm. The calculation puts the density of states at the Fermi level at 12.65 states/eV/f.u. Its formation enthalpy at 0 K is -92 meV/atom.

POSCAR file:
```
Ti5Nb2Au
1.0
-3.240 3.240 3.259
3.240 -3.240 3.259
3.240 3.240 -3.259
Ti Nb Au
5 2 1
direct
0.000 0.000 0.000
0.000 0.000 0.500
0.000 0.500 0.000
0.500 0.000 0.000
0.500 0.500 0.500
0.000 0.500 0.500
0.500 0.000 0.500
0.500 0.500 0.000
```

Compound: TlRe2Mo
Source: Alexandria via LeMat-Bulk
Functional: GGA-PBE
Structure: optimized geometry

Computed properties:
The spin magnetization is 0.00 μB/cell. The symmetry is R-3m. The calculation puts the density of states at the Fermi level at 2.16 states/eV/f.u. Its formation enthalpy at 0 K is 617 meV/atom.

POSCAR file:
```
TlRe2Mo
1.0
1.447 0.835 9.406
-1.447 0.835 9.406
0.000 -1.671 9.406
Tl Re Mo
1 2 1
direct
0.000 0.000 0.000
0.243 0.243 0.243
0.757 0.757 0.757
0.500 0.500 0.500
```

Compound: Y3Al2Ga3
Source: Alexandria via LeMat-Bulk
Functional: GGA-PBE
Structure: optimized geometry

Computed properties:
The spin magnetization is 0.00 μB/cell. The symmetry is Cmcm. The calculation puts the density of states at the Fermi level at 6.45 states/eV/f.u. Its formation enthalpy at 0 K is -609 meV/atom.

POSCAR file:
```
Y3Al2Ga3
1.0
2.162 -5.487 0.000
2.162 5.487 0.000
0.000 0.000 14.540
Y Al Ga
6 4 6
direct
0.074 0.926 0.615
0.074 0.926 0.885
0.358 0.642 0.750
0.642 0.358 0.250
0.926 0.074 0.115
0.926 0.074 0.385
0.217 0.783 0.099
0.217 0.783 0.401
0.783 0.217 0.599
0.783 0.217 0.901
0.354 0.646 0.250
0.388 0.612 0.540
0.388 0.612 0.960
0.612 0.388 0.040
0.612 0.388 0.460
0.646 0.354 0.750
```

Compound: RbNpSn2Br8
Source: Alexandria via LeMat-Bulk
Functional: GGA-PBE
Structure: optimized geometry

Computed properties:
The spin magnetization is 4.00 μB/cell. The symmetry is P-1. The calculation puts the density of states at the Fermi level at 4.91 states/eV/f.u. Its uncorrected formation energy is -1.093 eV per atom.

POSCAR file:
```
RbNpSn2Br8
1.0
6.994 0.000 0.000
0.144 7.249 0.000
0.015 0.010 9.255
Rb Np Sn Br
1 1 2 8
direct
0.000 0.000 0.000
0.000 0.000 0.500
0.500 0.500 0.247
0.500 0.500 0.753
0.245 0.322 0.500
0.250 0.841 0.717
0.251 0.841 0.283
0.273 0.381 0.001
0.727 0.619 0.999
0.749 0.159 0.717
0.750 0.159 0.283
0.755 0.678 0.500
```

Compound: Tb8Dy4Th3
Source: Alexandria via LeMat-Bulk
Functional: GGA-PBE
Structure: optimized geometry

Computed properties:
The spin magnetization is 0.00 μB/cell. The symmetry is C2/m. The calculation puts the density of states at the Fermi level at 28.28 states/eV/f.u. Its formation enthalpy at 0 K is 430 meV/atom.

POSCAR file:
```
Tb8Dy4Th3
1.0
6.728 -6.340 0.000
6.728 6.340 0.000
-3.200 0.000 5.837
Tb Dy Th
8 4 3
direct
0.149 0.851 0.000
0.224 0.224 0.055
0.252 0.748 0.500
0.255 0.255 0.570
0.745 0.745 0.430
0.748 0.252 0.500
0.776 0.776 0.945
0.851 0.149 0.000
0.000 0.500 0.500
0.500 0.000 0.500
0.500 0.500 0.000
0.500 0.500 0.500
0.000 0.000 0.500
0.000 0.500 0.000
0.500 0.000 0.000
```